Sc4Al3Cu | GGA-PBE | optimized geometry

```
Sc4Al3Cu
1.0
3.204 0.000 0.000
0.000 3.204 0.000
0.000 0.000 14.782
Sc Al Cu
4 3 1
Cartesian
0.000 0.000 1.647
0.000 0.000 5.476
0.000 0.000 9.306
0.000 0.000 13.135
1.602 1.602 3.552
1.602 1.602 7.391
1.602 1.602 11.230
1.602 1.602 0.000
```

Summary:
density of states at the Fermi level	0.487	states/eV/atom
energy of formation	-39.8	kJ per mole of atoms
theoretical density	3548	kg/m3
symmetry	P4/mmm (123)


Ti2BiMo | GGA-PBE | optimized geometry

```
Ti2BiMo
1.0
-2.054 2.054 9.619
2.054 -2.054 9.619
2.054 2.054 -9.619
Ti Bi Mo
4 2 2
Cartesian
3.081 0.998 -2.405
0.998 1.027 2.405
-1.027 1.056 7.214
1.056 1.027 12.024
2.054 0.000 4.810
0.000 0.000 9.619
0.000 0.000 0.000
0.000 2.054 4.810
```

Summary:
density of states at the Fermi level	1.496	states/eV/atom
energy of formation	62.3	kJ per mole of atoms
theoretical density	8199	kg/m3
symmetry	I-42d (122)


BaPd4Pb | GGA-PBE | optimized geometry

```
BaPd4Pb
1.0
8.082 0.000 0.000
0.000 4.301 0.000
0.000 0.000 8.226
Ba Pd Pb
2 8 2
Cartesian
2.020 0.000 1.334
6.061 0.000 6.892
0.000 0.000 4.113
0.300 2.151 5.966
2.020 2.151 3.756
3.741 2.151 5.966
4.041 0.000 4.113
4.341 2.151 2.260
6.061 2.151 4.470
7.781 2.151 2.260
2.020 0.000 6.009
6.061 0.000 2.217
```

Summary:
density of states at the Fermi level	0.488	states/eV/atom
energy above the lowest structure with this stoichiometry	66	meV/atom
energy of formation	-29.0	kJ per mole of atoms
theoretical density	8945	kg/m3
symmetry	Pmma (51)


HgP2Os | GGA-PBE | optimized geometry

```
HgP2Os
1.0
2.883 0.000 0.000
0.000 2.883 0.000
0.000 0.000 9.470
Hg P Os
1 2 1
Cartesian
0.000 0.000 0.000
1.442 1.442 3.227
1.442 1.442 6.242
0.000 0.000 4.735
```

Summary:
density of states at the Fermi level	0.466	states/eV/atom
energy of formation	11.6	kJ per mole of atoms
theoretical density	9550	kg/m3
symmetry	P4/mmm (123)